Entry from Alexandria: an optimized crystal structure of BaCo2Re (GGA-PBEsol).

Structure (POSCAR):
```
BaCo2Re
1.0
-0.108 -2.032 -1.934
4.824 -0.317 0.063
-2.628 -2.226 4.523
Ba Re Co
1 1 2
Direct
0.251 0.751 0.502
0.462 0.462 0.924
0.037 0.037 0.073
0.750 0.250 0.500
```

- E: -26.45 eV/cell

Entry from Alexandria: an optimized crystal structure of Te2RuCl (GGA-PBEsol).

Structure (POSCAR):
```
Te2RuCl
1.0
3.100 0.000 0.000
0.000 3.100 0.000
0.000 0.000 9.770
Te Cl Ru
2 1 1
Direct
0.500 0.500 0.244
0.000 0.000 0.912
0.000 0.000 0.587
0.500 0.500 0.758
```

- Formation energy without anion corrections: 0.4 eV/f.u.

Entry from Alexandria: an optimized crystal structure of FeCoAg2 (GGA-PBEsol).

Structure (POSCAR):
```
FeCoAg2
1.0
3.731 0.000 0.000
0.000 3.731 0.000
0.000 0.000 3.971
Fe Ag Co
1 2 1
Direct
0.000 0.000 0.500
0.500 0.000 0.000
0.000 0.500 0.000
0.500 0.500 0.500
```

- E: -21.61 eV/cell

Entry from Alexandria: an optimized crystal structure of KZn3Ir (GGA-PBEsol).

Structure (POSCAR):
```
KZn3Ir
1.0
5.000 0.000 0.000
0.000 5.000 0.000
0.000 0.000 5.000
Zn K Ir
3 1 1
Direct
0.500 0.000 0.000
0.000 0.000 0.500
0.000 0.500 0.000
0.000 0.000 0.000
0.500 0.500 0.500
```

- E: -5.15 eV/cell

Entry from Alexandria: an optimized crystal structure of KFeSe (GGA-PBEsol).

Structure (POSCAR):
```
KFeSe
1.0
4.494 0.000 0.000
2.247 3.892 0.000
2.247 1.297 3.669
K Se Fe
1 1 1
Direct
0.000 0.000 0.000
0.500 0.500 0.500
0.250 0.250 0.250
```

- Formation energy without anion corrections: 0.9 eV/f.u.

Entry from Alexandria: an optimized crystal structure of TiB2P (GGA-PBEsol).

Structure (POSCAR):
```
TiB2P
1.0
4.820 -0.030 0.000
-1.585 4.552 0.000
-1.618 -2.261 3.938
Ti B P
2 4 2
Direct
0.000 0.000 0.000
0.250 0.750 0.500
0.822 0.875 0.447
0.625 0.178 0.053
0.428 0.375 0.553
0.125 0.572 0.947
0.750 0.250 0.500
0.500 0.500 0.000
```

- E: -56.00 eV/cell

Entry from Alexandria: an optimized crystal structure of Sr2TlZn (GGA-PBEsol).

Structure (POSCAR):
```
Sr2TlZn
1.0
5.553 0.000 0.000
2.777 4.809 0.000
2.777 1.603 4.534
Zn Sr Tl
1 2 1
Direct
0.500 0.500 0.500
0.250 0.250 0.250
0.750 0.750 0.750
0.000 0.000 0.000
```

- E: -9.11 eV/cell

Entry from Alexandria: an optimized crystal structure of Y3Ir (GGA-PBEsol).

Structure (POSCAR):
```
Y3Ir
1.0
6.302 0.000 0.000
0.000 7.146 0.000
0.000 0.000 9.164
Y Ir
12 4
Direct
0.370 0.465 0.750
0.827 0.324 0.938
0.327 0.176 0.062
0.173 0.676 0.438
0.130 0.965 0.750
0.630 0.535 0.250
0.673 0.824 0.562
0.173 0.676 0.062
0.327 0.176 0.438
0.673 0.824 0.938
0.827 0.324 0.562
0.870 0.035 0.250
0.454 0.884 0.250
0.954 0.616 0.750
0.046 0.384 0.250
0.546 0.116 0.750
```

- E: -129.99 eV/cell

Entry from Alexandria: an optimized crystal structure of K2Hg (GGA-PBEsol).

Structure (POSCAR):
```
K2Hg
1.0
-0.995 -0.419 -3.940
-3.438 -1.928 1.073
-5.586 15.346 1.895
K Hg
4 2
Direct
0.686 0.186 0.372
0.814 0.314 0.628
0.436 0.436 0.872
0.564 0.564 0.128
0.000 0.000 0.000
0.250 0.750 0.500
```

- E: -6.28 eV/cell

Entry from Alexandria: an optimized crystal structure of Ba2FeMoO6 (GGA-PBEsol).

Structure (POSCAR):
```
Ba2FeMoO6
1.0
-5.379 1.371 -1.215
-3.529 -3.928 -2.099
-4.238 -2.014 3.204
O Mo Fe Ba
6 1 1 2
Direct
0.742 0.742 0.258
0.742 0.258 0.258
0.742 0.258 0.742
0.258 0.742 0.258
0.258 0.742 0.742
0.258 0.258 0.742
0.500 0.500 0.500
0.000 0.000 0.000
0.750 0.750 0.750
0.250 0.250 0.250
```

- Formation energy without anion corrections: -23.2 eV/f.u.

Entry from Alexandria: an optimized crystal structure of NaMg2Bi (GGA-PBEsol).

Structure (POSCAR):
```
NaMg2Bi
1.0
4.624 0.000 0.000
0.000 4.624 0.000
-2.312 -2.312 10.480
Mg Bi Na
4 2 2
Direct
0.125 0.111 0.750
0.889 0.375 0.250
0.625 0.639 0.750
0.361 0.875 0.250
0.000 0.000 0.000
0.250 0.750 0.500
0.500 0.500 0.000
0.750 0.250 0.500
```

- E: -17.82 eV/cell

Entry from Alexandria: an optimized crystal structure of Er6InCo2 (GGA-PBEsol).

Structure (POSCAR):
```
Er6InCo2
1.0
-3.136 -6.733 3.361
6.756 -1.637 -4.257
5.326 -3.272 5.232
Er Co In
12 4 2
Direct
0.303 0.988 0.315
0.900 0.712 0.812
0.100 0.288 0.188
0.476 0.288 0.812
0.697 0.383 0.315
0.788 0.768 0.444
0.212 0.768 0.020
0.524 0.712 0.188
0.788 0.232 0.980
0.303 0.617 0.685
0.697 0.012 0.685
0.212 0.232 0.556
0.624 0.000 0.376
0.376 0.000 0.624
0.500 0.613 0.887
0.500 0.387 0.113
0.000 0.000 0.000
0.000 0.500 0.500
```

- E: -101.46 eV/cell

Entry from Alexandria: an optimized crystal structure of Zr3Ni (GGA-PBEsol).

Structure (POSCAR):
```
Zr3Ni
1.0
-0.528 0.916 -5.559
-2.817 -5.227 -0.593
-8.007 4.152 1.444
Ni Zr
4 12
Direct
0.614 0.108 0.750
0.114 0.392 0.250
0.386 0.892 0.250
0.886 0.608 0.750
0.627 0.792 0.555
0.163 0.961 0.750
0.873 0.292 0.555
0.873 0.292 0.945
0.837 0.039 0.250
0.373 0.208 0.445
0.127 0.708 0.055
0.627 0.792 0.945
0.127 0.708 0.445
0.373 0.208 0.055
0.663 0.539 0.250
0.337 0.461 0.750
```

- E: -137.12 eV/cell

Entry from Alexandria: an optimized crystal structure of ZrTePdN2 (GGA-PBEsol).

Structure (POSCAR):
```
ZrTePdN2
1.0
-0.444 -3.446 2.032
3.971 -0.134 0.642
-0.724 3.120 5.132
Pd N Te Zr
1 2 1 1
Direct
0.500 0.500 0.500
0.500 0.000 0.000
0.000 0.500 0.000
0.000 0.000 0.500
0.000 0.000 0.000
```

- Formation energy without anion corrections: 2.4 eV/f.u.

Entry from Alexandria: an optimized crystal structure of Tl2PtW (GGA-PBEsol).

Structure (POSCAR):
```
Tl2PtW
1.0
-2.657 -1.242 0.252
0.166 -1.368 -4.985
3.405 -3.167 3.085
Pt Tl W
1 2 1
Direct
0.221 0.804 0.442
0.770 0.326 0.541
0.983 0.930 0.966
0.526 0.440 0.051
```

- E: -24.07 eV/cell

Entry from Alexandria: an optimized crystal structure of TmSnRu2 (GGA-PBEsol).

Structure (POSCAR):
```
TmSnRu2
1.0
-2.792 -2.207 -2.868
0.385 -4.523 -0.537
-3.234 -2.780 1.645
Sn Ru Tm
1 2 1
Direct
0.000 0.000 0.000
0.750 0.750 0.750
0.250 0.250 0.250
0.500 0.500 0.500
```

- E: -31.08 eV/cell

Entry from Alexandria: an optimized crystal structure of Ca4Ir (GGA-PBEsol).

Structure (POSCAR):
```
Ca4Ir
1.0
3.540 0.000 0.000
1.770 6.631 0.000
1.770 0.000 6.631
Ca Ir
4 1
Direct
0.560 0.182 0.698
0.258 0.302 0.182
0.440 0.818 0.302
0.742 0.698 0.818
0.000 0.000 0.000
```

- E: -19.14 eV/cell

Entry from Alexandria: an optimized crystal structure of La2ZnCu (GGA-PBEsol).

Structure (POSCAR):
```
La2ZnCu
1.0
3.643 0.000 0.000
0.000 3.643 0.000
0.000 0.000 7.245
Cu La Zn
1 2 1
Direct
0.500 0.500 0.500
0.000 0.000 0.259
0.000 0.000 0.741
0.500 0.500 0.000
```

- E: -17.30 eV/cell

Entry from Alexandria: an optimized crystal structure of TaAs2CBr (GGA-PBEsol).

Structure (POSCAR):
```
TaAs2CBr
1.0
4.960 0.000 0.000
0.000 4.960 0.000
0.000 0.000 4.972
C As Br Ta
1 2 1 1
Direct
0.500 0.500 0.500
0.000 0.500 0.000
0.500 0.000 0.000
0.000 0.000 0.500
0.000 0.000 0.000
```

- Formation energy without anion corrections: 8.1 eV/f.u.

Entry from Alexandria: an optimized crystal structure of Sr2ZnRu (GGA-PBEsol).

Structure (POSCAR):
```
Sr2ZnRu
1.0
5.003 0.000 0.000
2.501 4.332 0.000
2.501 1.444 4.085
Sr Zn Ru
2 1 1
Direct
0.750 0.750 0.750
0.000 0.000 0.000
0.250 0.250 0.250
0.500 0.500 0.500
```

- E: -13.62 eV/cell